The following is a DFT calculation (PBE) of crystalline CdInCl3 at its relaxed geometry.

Computed properties:
SG: Pm-3m, No. 221
E (eV/atom): -2.76

Unit cell a=5.2377 b=5.2377 c=5.2377 alpha=90.00 beta=90.00 gamma=90.00
With the nearest neighbours (Å) after each atom.
Fractional positions:
Cd1 0.0000 0.0000 0.0000  6 Cl 2.62
In1 0.5000 0.5000 0.5000  12 Cl 3.70
Cl1 0.0000 0.0000 0.5000  2 Cd 2.62
Cl2 0.0000 0.5000 0.0000  2 Cd 2.62
Cl3 0.5000 0.0000 0.0000  2 Cd 2.62

=====

The following is a DFT calculation (PBE) of crystalline CdInCl4 at its relaxed geometry.

Computed properties:
SG: C2/c, No. 15
E (eV/atom): -2.76

Unit cell a=9.5912 b=9.5912 c=6.2585 alpha=106.36 beta=106.36 gamma=126.65
With the nearest neighbours (Å) after each atom.
Fractional positions:
Cd1 0.1332 0.8668 0.7500  4 Cl 2.50-2.58
Cd2 0.8668 0.1332 0.2500  4 Cl 2.50-2.58
In1 0.3401 0.6599 0.2500  6 Cl 2.69-2.92
In2 0.6599 0.3401 0.7500  6 Cl 2.69-2.92
Cl1 0.0153 0.6005 0.2907  1 Cd 2.58, 1 In 2.81
Cl2 0.2011 0.3270 0.2701  1 Cd 2.50, 1 In 2.69
Cl3 0.3270 0.2011 0.7701  1 Cd 2.50, 1 In 2.69
Cl4 0.3995 0.9847 0.2093  1 Cd 2.58, 1 In 2.81
Cl5 0.6005 0.0153 0.7907  1 Cd 2.58, 1 In 2.81
Cl6 0.6730 0.7989 0.2299  1 Cd 2.50, 1 In 2.69
Cl7 0.7989 0.6730 0.7299  1 Cd 2.50, 1 In 2.69
Cl8 0.9847 0.3995 0.7093  1 Cd 2.58, 1 In 2.81

=====

The following is a DFT calculation (PBE) of crystalline CdIn3Cl4 at its relaxed geometry.

Computed properties:
SG: Pmn2_1, No. 31
E (eV/atom): -2.75

Unit cell a=12.5474 b=6.6514 c=6.0656 alpha=90.00 beta=90.00 gamma=90.00
With the nearest neighbours (Å) after each atom.
Fractional positions:
Cd1 0.0000 0.2058 0.0000  5 Cl 2.79-3.09
Cd2 0.5000 0.7942 0.5000  5 Cl 2.79-3.09
In1 0.0000 0.7421 0.4989  5 Cl 3.03-3.26
In2 0.2479 0.2754 0.5026  5 Cl 2.92-3.19
In3 0.2521 0.7246 0.0026  5 Cl 2.92-3.19
In4 0.5000 0.2579 0.9989  5 Cl 3.03-3.26
In5 0.7479 0.7246 0.0026  5 Cl 2.92-3.19
In6 0.7521 0.2754 0.5026  5 Cl 2.92-3.19
Cl1 0.0000 0.2101 0.4978  2 Cd 3.02-3.05, 3 In 3.11-3.14
Cl2 0.0000 0.7858 0.9965  1 Cd 2.79, 2 In 3.03-3.06
Cl3 0.2453 0.1637 0.0052  4 In 2.92-3.26, 1 Cd 3.09
Cl4 0.2547 0.8363 0.5052  4 In 2.92-3.26, 1 Cd 3.09
Cl5 0.5000 0.2142 0.4965  1 Cd 2.79, 2 In 3.03-3.06
Cl6 0.5000 0.7899 0.9978  2 Cd 3.02-3.05, 3 In 3.11-3.14
Cl7 0.7453 0.8363 0.5052  4 In 2.92-3.26, 1 Cd 3.09
Cl8 0.7547 0.1637 0.0052  4 In 2.92-3.26, 1 Cd 3.09

=====

The following is a DFT calculation (PBE) of crystalline Cd2InCl at its relaxed geometry.

Computed properties:
SG: R3m, No. 160
E (eV/atom): -1.86

Unit cell a=3.4811 b=3.4811 c=29.8613 alpha=90.00 beta=90.00 gamma=120.00
With the nearest neighbours (Å) after each atom.
Fractional positions:
Cd1 0.0000 0.0000 0.0000  3 Cd 3.10, 3 In 3.23
Cd2 0.0000 0.0000 0.2544  3 Cl 2.70
Cd3 0.3333 0.6667 0.6667  3 Cd 3.10, 3 In 3.23
Cd4 0.3333 0.6667 0.9210  3 Cl 2.70
Cd5 0.6667 0.3333 0.3333  3 Cd 3.10, 3 In 3.23
Cd6 0.6667 0.3333 0.5877  3 Cl 2.70
In1 0.0000 0.0000 0.7512  3 Cd 3.23, 6 In 3.48
In2 0.3333 0.6667 0.4178  3 Cd 3.23, 6 In 3.48
In3 0.6667 0.3333 0.0845  3 Cd 3.23, 6 In 3.48
Cl1 0.0000 0.0000 0.5274  3 Cd 2.70
Cl2 0.3333 0.6667 0.1941  3 Cd 2.70
Cl3 0.6667 0.3333 0.8608  3 Cd 2.70

=====

The following is a DFT calculation (PBE) of crystalline CdIn2Cl at its relaxed geometry.

Computed properties:
SG: P4mm, No. 99
E (eV/atom): -2.29

Unit cell a=3.4084 b=3.4084 c=8.9923 alpha=90.00 beta=90.00 gamma=90.00
With the nearest neighbours (Å) after each atom.
Fractional positions:
Cd1 0.0000 0.0000 0.0000  4 Cl 2.99, 4 In 3.23
In1 0.0000 0.0000 0.4824  8 In 3.41-3.48, 4 Cl 3.53
In2 0.5000 0.5000 0.7616  4 Cd 3.23, 8 In 3.41-3.48
Cl1 0.5000 0.5000 0.1960  4 Cd 2.99

=====

The following is a DFT calculation (PBE) of crystalline CdIn2Cl at its relaxed geometry.

Computed properties:
SG: Pmm2, No. 25
E (eV/atom): -2.38

Unit cell a=5.2218 b=5.9709 c=3.4494 alpha=90.00 beta=90.00 gamma=90.00
With the nearest neighbours (Å) after each atom.
Fractional positions:
Cd1 0.0000 0.0000 0.0000  6 In 2.99-3.13
In1 0.0000 0.5000 0.9907  2 Cd 2.99, 4 Cl 3.12-3.14
In2 0.5000 0.0000 0.4993  2 Cl 2.99, 4 Cd 3.13
Cl1 0.5000 0.5000 0.4940  6 In 2.99-3.14

=====

The following is a DFT calculation (PBE) of crystalline CdIn2Cl8 at its relaxed geometry.

Computed properties:
SG: C2/c, No. 15
E (eV/atom): -2.97

Unit cell a=9.8944 b=9.8944 c=12.6316 alpha=125.83 beta=125.83 gamma=53.90
With the nearest neighbours (Å) after each atom.
Fractional positions:
Cd1 0.0006 0.9994 0.7500  6 Cl 2.67-2.71
Cd2 0.9994 0.0006 0.2500  6 Cl 2.67-2.71
In1 0.1787 0.6634 0.4671  4 Cl 2.34-2.45
In2 0.3366 0.8213 0.0329  4 Cl 2.34-2.45
In3 0.6634 0.1787 0.9671  4 Cl 2.34-2.45
In4 0.8213 0.3366 0.5329  4 Cl 2.34-2.45
Cl1 0.1156 0.2027 0.5211  1 In 2.45, 1 Cd 2.67
Cl2 0.1200 0.7126 0.8054  1 In 2.43, 1 Cd 2.71
Cl3 0.1306 0.6832 0.2647  1 In 2.42, 1 Cd 2.68
Cl4 0.2027 0.1156 0.0211  1 In 2.45, 1 Cd 2.67
Cl5 0.2874 0.8800 0.6946  1 In 2.43, 1 Cd 2.71
Cl6 0.3168 0.8694 0.2353  1 In 2.42, 1 Cd 2.68
Cl7 0.3559 0.3664 0.4559  1 In 2.34
Cl8 0.3664 0.3559 0.9559  1 In 2.34
Cl9 0.6336 0.6441 0.0441  1 In 2.34
Cl10 0.6441 0.6336 0.5441  1 In 2.34
Cl11 0.6832 0.1306 0.7647  1 In 2.42, 1 Cd 2.68
Cl12 0.7126 0.1200 0.3054  1 In 2.43, 1 Cd 2.71
Cl13 0.7973 0.8844 0.9789  1 In 2.45, 1 Cd 2.67
Cl14 0.8694 0.3168 0.7353  1 In 2.42, 1 Cd 2.68
Cl15 0.8800 0.2874 0.1946  1 In 2.43, 1 Cd 2.71
Cl16 0.8844 0.7973 0.4789  1 In 2.45, 1 Cd 2.67

=====

The following is a DFT calculation (PBE) of crystalline CdIn2Cl at its relaxed geometry.

Computed properties:
SG: I4/mmm, No. 139
E (eV/atom): -2.28

Unit cell a=4.8055 b=4.8055 c=9.3866 alpha=90.00 beta=90.00 gamma=90.00
With the nearest neighbours (Å) after each atom.
Fractional positions:
Cd1 0.0000 0.0000 0.0000  8 In 3.36, 4 Cl 3.40
Cd2 0.5000 0.5000 0.5000  8 In 3.36, 4 Cl 3.40
In1 0.0000 0.5000 0.2500  4 Cd 3.36, 4 Cl 3.36, 4 In 3.40
In2 0.0000 0.5000 0.7500  4 Cd 3.36, 4 Cl 3.36, 4 In 3.40
In3 0.5000 0.0000 0.2500  4 Cd 3.36, 4 Cl 3.36, 4 In 3.40
In4 0.5000 0.0000 0.7500  4 Cd 3.36, 4 Cl 3.36, 4 In 3.40
Cl1 0.0000 0.0000 0.5000  8 In 3.36, 4 Cd 3.40
Cl2 0.5000 0.5000 0.0000  8 In 3.36, 4 Cd 3.40

=====

The following is a DFT calculation (PBE) of crystalline CdInCl2 at its relaxed geometry.

Computed properties:
SG: Pmmm, No. 47
E (eV/atom): -2.36

Unit cell a=3.9842 b=4.5025 c=6.2816 alpha=90.00 beta=90.00 gamma=90.00
With the nearest neighbours (Å) after each atom.
Fractional positions:
Cd1 0.0000 0.0000 0.0000  4 Cl 3.01
In1 0.0000 0.5000 0.5000  4 Cl 3.01
Cl1 0.5000 0.0000 0.5000  4 In 3.01
Cl2 0.5000 0.5000 0.0000  4 Cd 3.01

=====

The following is a DFT calculation (PBE) of crystalline Cd2InCl at its relaxed geometry.

Computed properties:
SG: Cmmm, No. 65
E (eV/atom): -1.82

Unit cell a=3.9812 b=5.9741 c=8.8313 alpha=90.00 beta=90.00 gamma=90.00
With the nearest neighbours (Å) after each atom.
Fractional positions:
Cd1 0.0000 0.0000 0.2374  2 Cl 2.89, 2 In 3.06
Cd2 0.0000 0.0000 0.7626  2 Cl 2.89, 2 In 3.06
Cd3 0.5000 0.5000 0.2374  2 Cl 2.89, 2 In 3.06
Cd4 0.5000 0.5000 0.7626  2 Cl 2.89, 2 In 3.06
In1 0.0000 0.5000 0.5000  4 Cd 3.06
In2 0.5000 0.0000 0.5000  4 Cd 3.06
Cl1 0.0000 0.5000 0.0000  4 Cd 2.89
Cl2 0.5000 0.0000 0.0000  4 Cd 2.89

=====

The following is a DFT calculation (PBE) of crystalline CdIn2Cl at its relaxed geometry.

Computed properties:
SG: Pmmm, No. 47
E (eV/atom): -2.32

Unit cell a=3.4412 b=5.2501 c=5.7422 alpha=90.00 beta=90.00 gamma=90.00
With the nearest neighbours (Å) after each atom.
Fractional positions:
Cd1 0.0000 0.0000 0.0000  4 In 3.14, 4 Cl 3.35, 2 Cd 3.44
In1 0.0000 0.5000 0.5000  4 Cl 3.14, 6 In 3.35-3.44
In2 0.5000 0.5000 0.0000  4 Cd 3.14, 6 In 3.35-3.44
Cl1 0.5000 0.0000 0.5000  4 In 3.14, 4 Cd 3.35, 2 Cl 3.44

=====

The following is a DFT calculation (PBE) of crystalline CdIn2Cl at its relaxed geometry.

Computed properties:
SG: R-3m, No. 166
E (eV/atom): -2.33

Unit cell a=3.6131 b=3.6131 c=28.7722 alpha=90.00 beta=90.00 gamma=120.00
With the nearest neighbours (Å) after each atom.
Fractional positions:
Cd1 0.0000 0.0000 0.0000  6 In 3.29, 6 Cd 3.61
Cd2 0.3333 0.6667 0.6667  6 In 3.29, 6 Cd 3.61
Cd3 0.6667 0.3333 0.3333  6 In 3.29, 6 Cd 3.61
In1 0.0000 0.0000 0.2450  3 Cl 3.07, 3 Cd 3.29
In2 0.0000 0.0000 0.7550  3 Cl 3.07, 3 Cd 3.29
In3 0.3333 0.6667 0.4217  3 Cl 3.07, 3 Cd 3.29
In4 0.3333 0.6667 0.9117  3 Cl 3.07, 3 Cd 3.29
In5 0.6667 0.3333 0.0883  3 Cl 3.07, 3 Cd 3.29
In6 0.6667 0.3333 0.5783  3 Cl 3.07, 3 Cd 3.29
Cl1 0.0000 0.0000 0.5000  6 In 3.07
Cl2 0.3333 0.6667 0.1667  6 In 3.07
Cl3 0.6667 0.3333 0.8333  6 In 3.07

=====

The following is a DFT calculation (PBE) of crystalline Cd2InCl at its relaxed geometry.

Computed properties:
SG: Cm, No. 8
E (eV/atom): -1.86

Unit cell a=11.1412 b=3.3318 c=5.5450 alpha=90.00 beta=91.96 gamma=90.00
With the nearest neighbours (Å) after each atom.
Fractional positions:
Cd1 0.0000 0.0000 0.0000  3 Cd 2.95-3.11, 4 In 3.23-3.26
Cd2 0.2348 0.5000 0.9822  3 Cd 2.95-3.11, 2 Cl 3.15
Cd3 0.5000 0.5000 0.0000  3 Cd 2.95-3.11, 4 In 3.23-3.26
Cd4 0.7348 0.0000 0.9822  3 Cd 2.95-3.11, 2 Cl 3.15
In1 0.4800 0.0000 0.4958  1 Cl 2.75
In2 0.9800 0.5000 0.4958  1 Cl 2.75
Cl1 0.2334 0.0000 0.5003  1 In 2.75
Cl2 0.7334 0.5000 0.5003  1 In 2.75

=====

The following is a DFT calculation (PBE) of crystalline CdIn2Cl at its relaxed geometry.

Computed properties:
SG: R3m, No. 160
E (eV/atom): -2.34

Unit cell a=3.5965 b=3.5965 c=28.8154 alpha=90.00 beta=90.00 gamma=120.00
With the nearest neighbours (Å) after each atom.
Fractional positions:
Cd1 0.0000 0.0000 0.0000  3 Cl 2.77
Cd2 0.3333 0.6667 0.6667  3 Cl 2.77
Cd3 0.6667 0.3333 0.3333  3 Cl 2.77
In1 0.0000 0.0000 0.2515  3 Cd 3.14, 3 In 3.41
In2 0.0000 0.0000 0.4911  9 In 3.41-3.60, 3 Cl 3.42
In3 0.3333 0.6667 0.1578  9 In 3.41-3.60, 3 Cl 3.42
In4 0.3333 0.6667 0.9182  3 Cd 3.14, 3 In 3.41
In5 0.6667 0.3333 0.5849  3 Cd 3.14, 3 In 3.41
In6 0.6667 0.3333 0.8244  9 In 3.41-3.60, 3 Cl 3.42
Cl1 0.0000 0.0000 0.7301  3 Cd 2.77
Cl2 0.3333 0.6667 0.3968  3 Cd 2.77
Cl3 0.6667 0.3333 0.0635  3 Cd 2.77

=====

Across the entries above, ΔE_f (raw) takes the values -446 -530 -528 -100 -90 -122 -1112 -86 -200 -85 -101 -104 -97 -107 kJ/mol of formula units, respectively.